(1)
Below is a relaxed structure of Ag3RuW, with properties calculated at the GGA-PBE level.

Output
excess energy over the best structure of this formula in the dataset	127	meV per atom
spin magnetization	0.00	μB per formula unit
DOS(E_F)	1.881	states/eV per atom
theoretical density	8.929	g/cm3
space group	Pm-3m (221)

Lattice parameters (Å, degrees): 4.837 4.837 4.837 90.00 90.00 90.00
Element x y z (fractional)
Ag1 0.000 0.000 0.500
Ag2 0.000 0.500 0.000
Ag3 0.500 0.000 0.000
Ru1 0.000 0.000 0.000
W1 0.500 0.500 0.500

=====

(2)
Below is a relaxed structure of AgRuW2, with properties calculated at the GGA-PBE level.

Output
excess energy over the best structure of this formula in the dataset	22	meV per atom
spin magnetization	0.69	μB per formula unit
DOS(E_F)	0.979	states/eV per atom
theoretical density	14.805	g/cm3
space group	Cmm2 (35)

Lattice parameters (Å, degrees): 2.739 2.739 9.104 90.00 90.00 108.73
Element x y z (fractional)
Ag1 0.000 0.000 0.000
Ru1 0.500 0.500 0.738
W1 0.000 0.000 0.509
W2 0.500 0.500 0.266

=====

(3)
Below is a relaxed structure of AgRuW2, with properties calculated at the GGA-PBE level.

Output
excess energy over the best structure of this formula in the dataset	199	meV per atom
spin magnetization	0.00	μB per formula unit
DOS(E_F)	1.008	states/eV per atom
theoretical density	15.195	g/cm3
space group	I-4m2 (119)

Lattice parameters (Å, degrees): 4.836 4.836 4.836 130.99 130.99 71.83
Element x y z (fractional)
Ag1 0.000 0.000 0.000
Ru1 0.250 0.750 0.500
W1 0.500 0.500 0.000
W2 0.750 0.250 0.500

=====

(4)
Below is a relaxed structure of Ag2RuW, with properties calculated at the GGA-PBE level.

Output
excess energy over the best structure of this formula in the dataset	745	meV per atom
spin magnetization	0.00	μB per formula unit
DOS(E_F)	1.752	states/eV per atom
theoretical density	12.900	g/cm3
space group	Fm-3m (225)

Lattice parameters (Å, degrees): 4.500 4.500 4.500 60.00 60.00 60.00
Element x y z (fractional)
Ag1 0.250 0.250 0.250
Ag2 0.750 0.750 0.750
Ru1 0.000 0.000 0.000
W1 0.500 0.500 0.500